No. 1
DFT (PBE) results for a relaxed Mn4CuAu crystal.

Geometry as POSCAR:
```
Mn4CuAu
1.0
0.000 3.363 3.363
3.363 0.000 3.363
3.363 3.363 0.000
Mn Cu Au
4 1 1
Direct
0.376 0.376 0.376 Mn
0.376 0.376 0.872 Mn
0.376 0.872 0.376 Mn
0.872 0.376 0.376 Mn
0.750 0.750 0.750 Cu
0.000 0.000 0.000 Au
```

Properties
**Energy of formation from the pure elements**: 8.39 kcal/mol of atoms
**Crystal system**: cubic


No. 2
DFT (PBE) results for a relaxed MnCuAu4 crystal.

Geometry as POSCAR:
```
MnCuAu4
1.0
0.000 3.843 3.843
3.843 0.000 3.843
3.843 3.843 0.000
Mn Cu Au
1 1 4
Direct
0.000 0.000 0.000 Mn
0.750 0.750 0.750 Cu
0.375 0.375 0.375 Au
0.375 0.375 0.875 Au
0.375 0.875 0.375 Au
0.875 0.375 0.375 Au
```

Properties
**Energy of formation from the pure elements**: 5.97 kcal/mol of atoms
**Crystal system**: cubic


No. 3
DFT (PBE) results for a relaxed Mn2CuAu crystal.

Geometry as POSCAR:
```
Mn2CuAu
1.0
2.791 0.000 0.000
0.000 2.791 0.000
0.000 0.000 7.394
Mn Cu Au
2 1 1
Direct
0.000 0.000 0.000 Mn
0.500 0.500 0.238 Mn
0.500 0.500 0.773 Cu
0.000 0.000 0.509 Au
```

Properties
**Energy of formation from the pure elements**: 3.72 kcal/mol of atoms
**Crystal system**: tetragonal


No. 4
DFT (PBE) results for a relaxed Mn2CuAuN crystal.

Geometry as POSCAR:
```
Mn2CuAuN
1.0
3.979 0.000 0.000
0.000 3.979 0.000
0.000 0.000 3.968
Mn Cu Au N
2 1 1 1
Direct
0.000 0.500 0.000 Mn
0.500 0.000 0.000 Mn
0.000 0.000 0.500 Cu
0.500 0.500 0.500 Au
0.000 0.000 0.000 N
```

Properties
**Formation energy without anion corrections**: -0.10 eV/atom
**Crystal system**: tetragonal


Number 1: E_tot -41.869 eV per cell. Number 2: E_tot -24.823 eV per cell. Number 3: E_tot -25.067 eV per cell. Number 4: E_tot -34.550 eV per cell.